# 1
Here is a relaxed structure of NbF from OQMD via LeMat-Bulk. Energies are from PBE.

Computed properties:
- E above lowest polymorph: 0.598 eV per atom
- SG: Fm-3m, No. 225
- VASP energy: -6.199 eV/atom

Structure (POSCAR):
```
NbF
1.0
0.000 2.376 2.376
2.376 0.000 2.376
2.376 2.376 0.000
Nb F
1 1
direct
0.000 0.000 0.000 Nb
0.500 0.500 0.500 F
```



# 2
Here is a relaxed structure of Mg2Sc2Cd2AgAu from OQMD via LeMat-Bulk. Energies are from PBE.

Computed properties:
- SG: P-4m2, No. 115
- VASP energy: -3.350 eV/atom

Structure (POSCAR):
```
Mg2Sc2Cd2AgAu
1.0
4.832 0.000 0.000
0.000 4.832 0.000
0.000 0.000 6.824
Mg Sc Cd Ag Au
2 2 2 1 1
direct
0.000 0.500 0.249 Mg
0.500 0.000 0.751 Mg
0.000 0.500 0.756 Sc
0.500 0.000 0.244 Sc
0.000 0.000 0.000 Cd
0.500 0.500 0.500 Cd
0.000 0.000 0.500 Ag
0.500 0.500 0.000 Au
```



# 3
Here is a relaxed structure of LaGdNO from OQMD via LeMat-Bulk. Energies are from PBE.

Computed properties:
- E above lowest polymorph: 0.555 eV per atom
- SG: P4/nmm, No. 129
- VASP energy: -7.297 eV/atom

Structure (POSCAR):
```
LaGdNO
1.0
4.306 0.000 0.000
0.000 4.306 0.000
0.000 0.000 8.064
La Gd N O
2 2 2 2
direct
0.250 0.750 0.000 La
0.750 0.250 0.000 La
0.250 0.250 0.397 Gd
0.750 0.750 0.603 Gd
0.250 0.250 0.846 N
0.750 0.750 0.154 N
0.250 0.750 0.500 O
0.750 0.250 0.500 O
```



# 4
Here is a relaxed structure of KW3N5 from OQMD via LeMat-Bulk. Energies are from PBE.

Computed properties:
- SG: P6/mmm, No. 191
- VASP energy: -8.546 eV/atom

Structure (POSCAR):
```
KW3N5
1.0
5.197 0.000 0.000
-2.599 4.501 0.000
0.000 0.000 6.165
K W N
1 3 5
direct
0.000 0.000 0.000 K
0.000 0.500 0.500 W
0.500 0.000 0.500 W
0.500 0.500 0.500 W
0.000 0.000 0.500 N
0.333 0.667 0.275 N
0.333 0.667 0.725 N
0.667 0.333 0.275 N
0.667 0.333 0.725 N
```



# 5
Here is a relaxed structure of TaCdGa from OQMD via LeMat-Bulk. Energies are from PBE.

Computed properties:
- SG: F-43m, No. 216
- VASP energy: -4.532 eV/atom

Structure (POSCAR):
```
TaCdGa
1.0
0.000 3.206 3.206
3.206 0.000 3.206
3.206 3.206 0.000
Ta Cd Ga
1 1 1
direct
0.000 0.000 0.000 Ta
0.750 0.750 0.750 Cd
0.250 0.250 0.250 Ga
```



# 6
Here is a relaxed structure of LaTbCu2Ge2 from OQMD via LeMat-Bulk. Energies are from PBE.

Computed properties:
- SG: P3m1, No. 156
- VASP energy: -5.058 eV/atom

Structure (POSCAR):
```
LaTbCu2Ge2
1.0
4.330 0.000 0.000
-2.165 3.750 0.000
0.000 0.000 7.697
La Tb Cu Ge
1 1 2 2
direct
0.000 0.000 0.000 La
0.000 0.000 0.496 Tb
0.333 0.667 0.289 Cu
0.667 0.333 0.732 Cu
0.333 0.667 0.714 Ge
0.667 0.333 0.242 Ge
```



Please write out number 6 again, unchanged.
Here is a relaxed structure of LaTbCu2Ge2 from OQMD via LeMat-Bulk. Energies are from PBE.

Computed properties:
- SG: P3m1, No. 156
- VASP energy: -5.058 eV/atom

Structure (POSCAR):
```
LaTbCu2Ge2
1.0
4.330 0.000 0.000
-2.165 3.750 0.000
0.000 0.000 7.697
La Tb Cu Ge
1 1 2 2
direct
0.000 0.000 0.000 La
0.000 0.000 0.496 Tb
0.333 0.667 0.289 Cu
0.667 0.333 0.732 Cu
0.333 0.667 0.714 Ge
0.667 0.333 0.242 Ge
```



Question: Among the records above, which one has the highest VASP energy?
Answer: Mg2Sc2Cd2AgAu